# 1
MgSiNi2 after structural relaxation. Source: OQMD, functional PBE.

Cell lengths 5.8376, 5.8376, 5.8376 Å; angles 90.00, 90.00, 90.00 degrees
Last column: nearest neighbours and their distance in Å.
Space group F-43m (No. 216)
Asymmetric unit:
1 Mg 0.0000 0.0000 0.0000 [4 per cell]  4 Si 2.53, 4 Ni 2.53
2 Si 0.2500 0.2500 0.7500 [4 per cell]  4 Ni 2.53, 4 Mg 2.53
3 Ni 0.0000 0.0000 0.5000 [4 per cell]  4 Ni 2.53, 4 Si 2.53
4 Ni 0.2500 0.2500 0.2500 [4 per cell]  4 Ni 2.53, 4 Mg 2.53

For the magnetization, the calculation gives 0.02 μB per cell. The calculated volume comes out at 198.9 Å³ per cell. The total energy comes out at -4.658 eV per atom.


# 2
SrMgSiNi after structural relaxation. Source: OQMD, functional PBE.

Cell lengths 6.7521, 6.7521, 6.7521 Å; angles 90.00, 90.00, 90.00 degrees
Last column: nearest neighbours and their distance in Å.
Space group F-43m (No. 216)
Asymmetric unit:
1 Sr 0.0000 0.0000 0.0000 [4 per cell]  4 Mg 2.92, 4 Si 2.92
2 Mg 0.2500 0.2500 0.7500 [4 per cell]  4 Ni 2.92, 4 Sr 2.92
3 Si 0.2500 0.2500 0.2500 [4 per cell]  4 Ni 2.92, 4 Sr 2.92
4 Ni 0.0000 0.0000 0.5000 [4 per cell]  4 Mg 2.92, 4 Si 2.92

For the magnetization, the calculation gives 0.02 μB per cell. The calculated volume comes out at 307.8 Å³ per cell. For the excess energy over the best structure of this formula in the dataset, the calculation gives 20.9 meV per atom.


# 3
SrMgSiNi after structural relaxation. Source: OQMD, functional PBE.

Cell lengths 6.8872, 6.8872, 6.8872 Å; angles 90.00, 90.00, 90.00 degrees
Last column: nearest neighbours and their distance in Å.
Space group F-43m (No. 216)
Asymmetric unit:
1 Sr 0.0000 0.0000 0.0000 [4 per cell]  4 Ni 2.98, 4 Si 2.98
2 Mg 0.0000 0.0000 0.5000 [4 per cell]  4 Ni 2.98, 4 Si 2.98
3 Si 0.2500 0.2500 0.2500 [4 per cell]  4 Mg 2.98, 4 Sr 2.98
4 Ni 0.2500 0.2500 0.7500 [4 per cell]  4 Mg 2.98, 4 Sr 2.98

For the magnetization, the calculation gives 0.81 μB per cell. The calculated volume comes out at 326.7 Å³ per cell. For the excess energy over the best structure of this formula in the dataset, the calculation gives 0.0 meV per atom.


# 4
SrMgSiNi after structural relaxation. Source: OQMD, functional PBE.

Cell lengths 6.6767, 6.6767, 6.6767 Å; angles 90.00, 90.00, 90.00 degrees
Last column: nearest neighbours and their distance in Å.
Space group F-43m (No. 216)
Asymmetric unit:
1 Sr 0.0000 0.0000 0.0000 [4 per cell]  4 Ni 2.89, 4 Mg 2.89
2 Mg 0.2500 0.2500 0.7500 [4 per cell]  4 Sr 2.89, 4 Si 2.89
3 Si 0.0000 0.0000 0.5000 [4 per cell]  4 Mg 2.89, 4 Ni 2.89
4 Ni 0.2500 0.2500 0.2500 [4 per cell]  4 Si 2.89, 4 Sr 2.89

For the magnetization, the calculation gives 0.01 μB per cell. The calculated volume comes out at 297.6 Å³ per cell. For the excess energy over the best structure of this formula in the dataset, the calculation gives 0.2 meV per atom.


# 5
MgTaSiNi after structural relaxation. Source: OQMD, functional PBE.

Cell lengths 6.1508, 6.1508, 6.1508 Å; angles 90.00, 90.00, 90.00 degrees
Last column: nearest neighbours and their distance in Å.
Space group F-43m (No. 216)
Asymmetric unit:
1 Mg 0.0000 0.0000 0.0000 [4 per cell]  4 Ta 2.66, 4 Ni 2.66
2 Ta 0.2500 0.2500 0.2500 [4 per cell]  4 Si 2.66, 4 Mg 2.66
3 Si 0.0000 0.0000 0.5000 [4 per cell]  4 Ni 2.66, 4 Ta 2.66
4 Ni 0.2500 0.2500 0.7500 [4 per cell]  4 Mg 2.66, 4 Si 2.66

For the magnetization, the calculation gives 0.44 μB per cell. The calculated volume comes out at 232.7 Å³ per cell. For the excess energy over the best structure of this formula in the dataset, the calculation gives 0.0 meV per atom.


# 6
MgTaSiNi after structural relaxation. Source: OQMD, functional PBE.

Cell lengths 6.1941, 6.1941, 6.1941 Å; angles 90.00, 90.00, 90.00 degrees
Last column: nearest neighbours and their distance in Å.
Space group F-43m (No. 216)
Asymmetric unit:
1 Mg 0.0000 0.0000 0.0000 [4 per cell]  4 Ta 2.68, 4 Si 2.68
2 Ta 0.2500 0.2500 0.7500 [4 per cell]  4 Ni 2.68, 4 Mg 2.68
3 Si 0.2500 0.2500 0.2500 [4 per cell]  4 Ni 2.68, 4 Mg 2.68
4 Ni 0.0000 0.0000 0.5000 [4 per cell]  4 Ta 2.68, 4 Si 2.68

For the magnetization, the calculation gives 3.70 μB per cell. The calculated volume comes out at 237.7 Å³ per cell. For the excess energy over the best structure of this formula in the dataset, the calculation gives 225.7 meV per atom.


Question: Which formula does entry 6 have?
Answer: MgTaSiNi


What did the first record say?
MgSiNi2 after structural relaxation. Source: OQMD, functional PBE.

Cell lengths 5.8376, 5.8376, 5.8376 Å; angles 90.00, 90.00, 90.00 degrees
Last column: nearest neighbours and their distance in Å.
Space group F-43m (No. 216)
Asymmetric unit:
1 Mg 0.0000 0.0000 0.0000 [4 per cell]  4 Si 2.53, 4 Ni 2.53
2 Si 0.2500 0.2500 0.7500 [4 per cell]  4 Ni 2.53, 4 Mg 2.53
3 Ni 0.0000 0.0000 0.5000 [4 per cell]  4 Ni 2.53, 4 Si 2.53
4 Ni 0.2500 0.2500 0.2500 [4 per cell]  4 Ni 2.53, 4 Mg 2.53

For the magnetization, the calculation gives 0.02 μB per cell. The calculated volume comes out at 198.9 Å³ per cell. The total energy comes out at -4.658 eV per atom.


Question: Look up the calculated volume of the second one.
Answer: 307.8 Å³ per cell


Question: What is the calculated volume in the first record?
Answer: 198.9 Å³ per cell